(1)
Ce6GeOs2Cl3: relaxed, PBE-GGA.

a b c (Å): 7.1605 7.1605 7.4070
angles (deg): 99.39 99.39 119.87
Atoms (fractional coordinates):
Ce 0.0746 0.4271 0.7783
Ce 0.2200 0.2200 0.2166
Ce 0.4271 0.0746 0.7783
Ce 0.5729 0.9254 0.2217
Ce 0.7800 0.7800 0.7834
Ce 0.9254 0.5729 0.2217
Ge 0.5000 0.5000 0.0000
Os 0.1673 0.8327 0.0000
Os 0.8327 0.1673 0.0000
Cl 0.0000 0.0000 0.5000
Cl 0.3418 0.6582 0.5000
Cl 0.6582 0.3418 0.5000

Values from the calculation:
calculated volume	311.4	Å³/cell
ΔE_f (raw)	-0.928	eV/atom

(2)
Ce8GeOs3Cl4: relaxed, PBE-GGA.

a b c (Å): 8.5764 8.5764 8.5764
angles (deg): 57.27 57.27 57.27
Atoms (fractional coordinates):
Ce 0.2218 0.7457 0.7457
Ce 0.2383 0.2383 0.2383
Ce 0.2543 0.2543 0.7782
Ce 0.2543 0.7782 0.2543
Ce 0.7457 0.2218 0.7457
Ce 0.7457 0.7457 0.2218
Ce 0.7617 0.7617 0.7617
Ce 0.7782 0.2543 0.2543
Ge 0.5000 0.5000 0.5000
Os 0.0000 0.0000 0.5000
Os 0.0000 0.5000 0.0000
Os 0.5000 0.0000 0.0000
Cl 0.0000 0.0000 0.0000
Cl 0.0000 0.5000 0.5000
Cl 0.5000 0.0000 0.5000
Cl 0.5000 0.5000 0.0000

Values from the calculation:
calculated volume	418.0	Å³/cell
ΔE_f (raw)	-0.900	eV/atom

(3)
Ce6GeP2Cl3: relaxed, PBE-GGA.

a b c (Å): 9.1188 9.1188 8.1240
angles (deg): 101.33 101.33 26.26
Atoms (fractional coordinates):
Ce 0.0045 0.0045 0.2542
Ce 0.3309 0.3309 0.4244
Ce 0.3321 0.3321 0.9062
Ce 0.6679 0.6679 0.0938
Ce 0.6691 0.6691 0.5756
Ce 0.9955 0.9955 0.7458
Ge 0.5000 0.5000 0.0000
P 0.1679 0.1679 0.3344
P 0.8321 0.8321 0.6656
Cl 0.1641 0.1641 0.8323
Cl 0.5000 0.5000 0.5000
Cl 0.8359 0.8359 0.1677

Values from the calculation:
calculated volume	292.7	Å³/cell
ΔE_f (raw)	-1.416	eV/atom

(4)
Ce4GePCl2: relaxed, PBE-GGA.

a b c (Å): 6.9868 4.1668 7.2219
angles (deg): 90.00 110.16 90.00
Atoms (fractional coordinates):
Ce 0.2408 0.0000 0.2389
Ce 0.2471 0.5000 0.7574
Ce 0.7529 0.5000 0.2426
Ce 0.7592 0.0000 0.7611
Ge 0.0000 0.0000 0.5000
P 0.0000 0.5000 0.0000
Cl 0.5000 0.0000 0.0000
Cl 0.5000 0.5000 0.5000

Values from the calculation:
calculated volume	197.4	Å³/cell
ΔE_f (raw)	-1.349	eV/atom

(5)
CePmGeCl: relaxed, PBE-GGA.

a b c (Å): 5.1309 5.1309 5.1309
angles (deg): 60.00 60.00 60.00
Atoms (fractional coordinates):
Ce 0.0000 0.0000 0.0000
Pm 0.5000 0.5000 0.5000
Ge 0.2500 0.2500 0.2500
Cl 0.7500 0.7500 0.7500

Values from the calculation:
calculated volume	95.5	Å³/cell
E above lowest polymorph	0.000	eV per atom
ΔE_f (raw)	-1.009	eV/atom

(6)
CePmGeCl: relaxed, PBE-GGA.

a b c (Å): 5.8233 5.1692 5.1692
angles (deg): 52.16 90.00 90.00
Atoms (fractional coordinates):
Ce 0.0000 0.0000 0.0000
Pm 0.5000 0.3084 0.3084
Ge 0.0000 0.3090 0.3090
Cl 0.5000 0.0016 0.0016

Values from the calculation:
calculated volume	122.9	Å³/cell
E above lowest polymorph	0.105	eV per atom
ΔE_f (raw)	-0.904	eV/atom

(7)
Ce6GeSe3Cl2: relaxed, PBE-GGA.

a b c (Å): 9.2985 9.2985 8.2463
angles (deg): 103.16 103.16 26.02
Atoms (fractional coordinates):
Ce 0.0011 0.0011 0.2494
Ce 0.3324 0.3324 0.4208
Ce 0.3337 0.3337 0.9162
Ce 0.6663 0.6663 0.0838
Ce 0.6676 0.6676 0.5792
Ce 0.9989 0.9989 0.7506
Ge 0.5000 0.5000 0.0000
Se 0.1656 0.1656 0.8307
Se 0.5000 0.5000 0.5000
Se 0.8344 0.8344 0.1693
Cl 0.1664 0.1664 0.3308
Cl 0.8336 0.8336 0.6692

Values from the calculation:
calculated volume	304.1	Å³/cell
ΔE_f (raw)	-1.521	eV/atom

(8)
Ce4SiGeCl2: relaxed, PBE-GGA.

a b c (Å): 6.9514 4.2326 7.3390
angles (deg): 90.00 110.56 90.00
Atoms (fractional coordinates):
Ce 0.2472 0.0000 0.2458
Ce 0.2496 0.5000 0.7532
Ce 0.7504 0.5000 0.2468
Ce 0.7528 0.0000 0.7542
Si 0.0000 0.5000 0.0000
Ge 0.0000 0.0000 0.5000
Cl 0.5000 0.0000 0.0000
Cl 0.5000 0.5000 0.5000

Values from the calculation:
calculated volume	202.2	Å³/cell
ΔE_f (raw)	-1.117	eV/atom

(9)
CeSmGeCl: relaxed, PBE-GGA.

a b c (Å): 5.7987 5.1676 5.1676
angles (deg): 51.81 90.00 90.00
Atoms (fractional coordinates):
Ce 0.0000 0.0000 0.0000
Sm 0.5000 0.3077 0.3077
Ge 0.0000 0.3080 0.3080
Cl 0.5000 0.0019 0.0019

Values from the calculation:
calculated volume	121.7	Å³/cell
ΔE_f (raw)	-0.895	eV/atom

(10)
CeH2Cl6: relaxed, PBE-GGA.

a b c (Å): 9.1640 9.1640 6.7751
angles (deg): 93.96 93.96 83.12
Atoms (fractional coordinates):
Ce 0.1060 0.8940 0.7500
Ce 0.8940 0.1060 0.2500
H 0.3502 0.3928 0.5094
H 0.3928 0.3502 0.0094
H 0.6072 0.6498 0.9906
H 0.6498 0.6072 0.4906
Cl 0.0405 0.1707 0.5999
Cl 0.1234 0.6408 0.8724
Cl 0.1707 0.0405 0.0999
Cl 0.2881 0.4531 0.3528
Cl 0.3592 0.8766 0.6276
Cl 0.4531 0.2881 0.8528
Cl 0.5469 0.7119 0.1472
Cl 0.6408 0.1234 0.3724
Cl 0.7119 0.5469 0.6472
Cl 0.8293 0.9595 0.9001
Cl 0.8766 0.3592 0.1276
Cl 0.9595 0.8293 0.4001

Values from the calculation:
calculated volume	562.5	Å³/cell
E above lowest polymorph	0.000	eV per atom

(11)
CeH2Cl: relaxed, PBE-GGA.

a b c (Å): 3.2961 3.2961 5.4702
angles (deg): 90.00 90.00 90.00
Atoms (fractional coordinates):
Ce 0.0000 0.0000 0.0000
H 0.5000 0.5000 0.1640
H 0.5000 0.5000 0.8360
Cl 0.0000 0.0000 0.5000

Values from the calculation:
calculated volume	59.4	Å³/cell
E above lowest polymorph	0.497	eV per atom

(12)
Ce2HCl: relaxed, PBE-GGA.

a b c (Å): 7.5612 7.5612 7.5612
angles (deg): 27.28 27.28 27.28
Atoms (fractional coordinates):
Ce 0.2344 0.2344 0.2344
Ce 0.7656 0.7656 0.7656
H 0.5000 0.5000 0.5000
Cl 0.0000 0.0000 0.0000

Values from the calculation:
calculated volume	80.1	Å³/cell
E above lowest polymorph	0.000	eV per atom

(13)
CeHCl3: relaxed, PBE-GGA.

a b c (Å): 7.4969 4.0326 7.7341
angles (deg): 90.00 97.32 90.00
Atoms (fractional coordinates):
Ce 0.1408 0.2500 0.2681
Ce 0.8592 0.7500 0.7319
H 0.3803 0.2500 0.4185
H 0.6197 0.7500 0.5815
Cl 0.1093 0.2500 0.8734
Cl 0.1765 0.7500 0.5333
Cl 0.3608 0.7500 0.1759
Cl 0.6392 0.2500 0.8241
Cl 0.8235 0.2500 0.4667
Cl 0.8907 0.7500 0.1266

Values from the calculation:
calculated volume	231.9	Å³/cell
E above lowest polymorph	0.044	eV per atom

(14)
CeHCl: relaxed, PBE-GGA.

a b c (Å): 5.3714 5.3714 5.3714
angles (deg): 142.85 142.85 53.55
Atoms (fractional coordinates):
Ce 0.0000 0.0000 0.0000
H 0.5805 0.5805 0.0000
Cl 0.3083 0.3083 0.0000

Values from the calculation:
raw total energy	-0.346	Ry/atom
calculated volume	56.2	Å³/cell

(15)
CeHCl: relaxed, PBE-GGA.

a b c (Å): 6.9611 6.9611 6.9611
angles (deg): 143.51 143.51 52.56
Atoms (fractional coordinates):
Ce 0.1493 0.1493 0.0000
Ce 0.8507 0.8507 0.0000
H 0.2500 0.7500 0.5000
H 0.7500 0.2500 0.5000
Cl 0.0000 0.5000 0.5000
Cl 0.5000 0.0000 0.5000

Values from the calculation:
raw total energy	-0.353	Ry/atom
calculated volume	118.6	Å³/cell

(16)
CeHCl: relaxed, PBE-GGA.

a b c (Å): 5.8759 4.2442 9.7160
angles (deg): 90.00 90.06 90.00
Atoms (fractional coordinates):
Ce 0.1830 0.2500 0.0833
Ce 0.3174 0.7500 0.5833
Ce 0.6826 0.2500 0.4167
Ce 0.8170 0.7500 0.9167
H 0.0377 0.7500 0.1191
H 0.4628 0.2500 0.6192
H 0.5372 0.7500 0.3808
H 0.9623 0.2500 0.8809
Cl 0.1807 0.2500 0.3858
Cl 0.3188 0.7500 0.8859
Cl 0.6812 0.2500 0.1141
Cl 0.8193 0.7500 0.6142

Values from the calculation:
raw total energy	-0.350	Ry/atom
calculated volume	242.3	Å³/cell

(17)
CeHCl3: relaxed, PBE-GGA.

a b c (Å): 6.7881 8.2885 10.6859
angles (deg): 90.00 129.42 90.00
Atoms (fractional coordinates):
Ce 0.0367 0.2500 0.2502
Ce 0.0367 0.2500 0.7502
Ce 0.9633 0.7500 0.2498
Ce 0.9633 0.7500 0.7498
H 0.1104 0.5123 0.2499
H 0.1104 0.9877 0.7499
H 0.8896 0.0123 0.2501
H 0.8896 0.4877 0.7501
Cl 0.1341 0.1864 0.5342
Cl 0.1341 0.3136 0.0342
Cl 0.2542 0.5272 0.7493
Cl 0.2542 0.9728 0.2493
Cl 0.4340 0.6870 0.5336
Cl 0.4340 0.8130 0.0336
Cl 0.5660 0.1870 0.9664
Cl 0.5660 0.3130 0.4664
Cl 0.7458 0.0272 0.7507
Cl 0.7458 0.4728 0.2507
Cl 0.8659 0.6864 0.9658
Cl 0.8659 0.8136 0.4658

Values from the calculation:
calculated volume	464.5	Å³/cell
E above lowest polymorph	0.000	eV per atom

(18)
CeHCl: relaxed, PBE-GGA.

a b c (Å): 3.9464 3.9464 3.9436
angles (deg): 90.00 90.00 120.00
Atoms (fractional coordinates):
Ce 0.0000 0.0000 0.0000
H 0.6667 0.3333 0.0000
Cl 0.3333 0.6667 0.5000

Values from the calculation:
raw total energy	-0.353	Ry/atom
calculated volume	53.2	Å³/cell

(19)
CeH2Cl: relaxed, PBE-GGA.

a b c (Å): 3.8925 5.5520 5.6819
angles (deg): 90.00 90.00 90.00
Atoms (fractional coordinates):
Ce 0.2500 0.2500 0.1901
Ce 0.7500 0.7500 0.8099
H 0.2500 0.5461 0.9079
H 0.2500 0.9539 0.9079
H 0.7500 0.0461 0.0921
H 0.7500 0.4539 0.0921
Cl 0.2500 0.7500 0.4164
Cl 0.7500 0.2500 0.5836

Values from the calculation:
calculated volume	122.8	Å³/cell
E above lowest polymorph	0.000	eV per atom

(20)
CeHCl: relaxed, PBE-GGA.

a b c (Å): 4.5024 4.5024 4.5024
angles (deg): 60.00 60.00 60.00
Atoms (fractional coordinates):
Ce 0.0000 0.0000 0.0000
H 0.2500 0.2500 0.2500
Cl 0.7500 0.7500 0.7500

Values from the calculation:
raw total energy	-0.343	Ry/atom
calculated volume	64.5	Å³/cell